1.
HoAsPb2O6 | Alexandria | PBE | relaxed; DOS(E_F) = 0.00 states/eV/f.u.; formation energy (no corrections) = -1.7239 eV per atom
1.0
-0.2133 4.7659 3.1998
-2.6498 -0.0782 5.0962
8.0903 -1.1620 7.4263
Ho As Pb O
2 2 4 12
Direct
0.5898 0.5898 0.2307
0.4102 0.4102 0.7693
0.0000 0.0000 0.0000
0.5000 0.5000 0.5000
0.8505 0.8505 0.4486
0.1495 0.1495 0.5514
0.6949 0.6949 0.9152
0.3051 0.3051 0.0848
0.8393 0.3834 0.3939
0.3834 0.8393 0.3939
0.3834 0.3834 0.3939
0.1607 0.6166 0.6061
0.6166 0.1607 0.6061
0.6166 0.6166 0.6061
0.7167 0.1909 0.9016
0.1909 0.7167 0.9016
0.1909 0.1909 0.9016
0.2833 0.8091 0.0984
0.8091 0.2833 0.0984
0.8091 0.8091 0.0984


2.
LaTaMo | Alexandria | PBE | relaxed; DOS(E_F) = 2.84 states/eV/f.u.; ΔE to the lowest computed polymorph = 441 meV per atom; DFT formation energy = 0.7163 eV/atom
1.0
4.6852 0.0000 0.0000
2.3426 4.0575 0.0000
2.3426 1.3525 3.8254
La Mo Ta
1 1 1
Direct
0.5000 0.5000 0.5000
0.2500 0.2500 0.2500
0.0000 0.0000 0.0000


3.
Nd8RuPt3I4 | Alexandria | PBE | relaxed; DOS(E_F) = 8.66 states/eV/f.u.; formation energy (no corrections) = -1.0229 eV per atom
1.0
8.4993 0.0000 0.0000
0.0000 9.4541 0.6692
-4.2497 -4.2433 6.0114
Nd Ru Pt I
8 1 3 4
Direct
0.2239 0.6863 0.9625
0.2240 0.6863 0.4479
0.2713 0.3142 0.5426
0.7386 0.6863 0.9625
0.2614 0.3137 0.0375
0.7287 0.6858 0.4574
0.7760 0.3137 0.5521
0.7761 0.3137 0.0375
0.0000 0.5000 0.0000
0.5000 0.5000 0.0000
0.5000 0.5000 0.5000
0.0000 0.5000 0.5000
0.5000 0.0000 0.0000
0.5000 0.0000 0.5000
0.0000 0.0000 0.0000
0.0000 0.0000 0.5000


4.
La2ZnGeIr | Alexandria | PBE | relaxed; DOS(E_F) = 3.60 states/eV/f.u.; DFT formation energy = -0.4060 eV/atom
1.0
5.4770 0.0000 0.0000
0.0000 4.8050 0.0000
0.0000 0.0000 5.4770
Ge Ir Zn La
1 1 1 2
Direct
0.5000 0.5000 0.5000
0.0000 0.0000 0.0000
0.0000 0.5000 0.0000
0.0000 0.0000 0.5000
0.5000 0.0000 0.0000


5.
MnAu2Br | Alexandria | PBE | relaxed; DOS(E_F) = 1.88 states/eV/f.u.; formation energy (no corrections) = 0.3124 eV per atom; ΔE to the lowest computed polymorph = 362 meV per atom
1.0
-2.3610 -3.9172 -2.1629
0.7927 -0.3963 4.9812
-3.1505 1.5538 0.6250
Au Br Mn
2 1 1
Direct
0.0000 0.0000 0.0000
0.5000 0.5000 0.0000
0.5000 0.0000 0.5000
0.0000 0.5000 0.5000


6.
TbCdNiAg | Alexandria | PBE | relaxed; DOS(E_F) = 3.21 states/eV/f.u.; DFT formation energy = -0.2022 eV/atom
1.0
4.8034 0.0000 0.0000
2.4017 4.1599 0.0000
2.4017 1.3866 3.9220
Ni Tb Ag Cd
1 1 1 1
Direct
0.5000 0.5000 0.5000
0.2500 0.2500 0.2500
0.0000 0.0000 0.0000
0.7500 0.7500 0.7500


7.
BeCdI2 | Alexandria | PBE | relaxed; DOS(E_F) = 1.23 states/eV/f.u.; formation energy (no corrections) = 0.5149 eV per atom; ΔE to the lowest computed polymorph = 632 meV per atom
1.0
-4.5550 -2.8299 -0.3122
-2.4000 -1.7296 4.4836
-4.6401 2.1962 1.5812
I Be Cd
2 1 1
Direct
0.2500 0.2500 0.2500
0.7500 0.7500 0.7500
0.0000 0.0000 0.0000
0.5000 0.5000 0.5000


8.
ScS2O6 | Alexandria | PBE | relaxed; formation energy (no corrections) = -1.6869 eV per atom
1.0
5.1383 0.0000 0.0000
2.5692 4.4499 0.0000
2.5692 1.4833 6.4635
Sc S O
1 2 6
Direct
0.3305 0.3305 0.0086
0.7229 0.7229 0.8312
0.5699 0.5699 0.2904
0.6608 0.5152 0.7672
0.0568 0.6608 0.7672
0.5152 0.0568 0.7672
0.3624 0.5440 0.1905
0.9031 0.3624 0.1905
0.5440 0.9031 0.1905


One value per record, in order, for total moment: 0.000; 0.000; 0.000; 0.000; 4.282; 0.000; 0.000; 1.000 μB per formula unit.